Record 1
## LiYTcSn2 (PBEsol)

Data for crystalline LiYTcSn2 at its relaxed geometry.

## Properties
The value obtained for the formation energy is 0.662 eV/atom. As for the calculated total energy: -5.053 eV per atom. Its space-group type is P4/mmm.

Unit cell a=4.6516 b=4.6516 c=4.8614 alpha=90.00 beta=90.00 gamma=90.00
Last column: magnetic moment on the atom in μB.
Element x y z (fractional)
Sn: 0.0000 0.5000 0.0000  0.00
Sn: 0.5000 0.0000 0.0000  0.00
Y: 0.0000 0.0000 0.5000  -0.15
Li: 0.0000 0.0000 0.0000  0.01
Tc: 0.5000 0.5000 0.5000  2.09

---

Record 2
## Li2ZrTiSn (PBEsol)

Data for crystalline Li2ZrTiSn at its relaxed geometry.

## Properties
The value obtained for the formation energy is 0.664 eV/atom. As for the calculated total energy: -4.457 eV per atom. Its space-group type is P4/mmm.

Unit cell a=4.6721 b=4.6721 c=5.4467 alpha=90.00 beta=90.00 gamma=90.00
Last column: magnetic moment on the atom in μB.
Element x y z (fractional)
Li: 0.0000 0.5000 0.0000  0.00
Li: 0.5000 0.0000 0.0000  0.00
Sn: 0.0000 0.0000 0.0000  -0.08
Zr: 0.0000 0.0000 0.5000  0.20
Ti: 0.5000 0.5000 0.5000  1.41

---

Record 3
## LiTl3Sn (PBEsol)

Data for crystalline LiTl3Sn at its relaxed geometry.

## Properties
The value obtained for the formation energy is 0.143 eV/atom. As for the calculated total energy: -2.680 eV per atom. Its space-group type is Pm-3m.

Unit cell a=5.0993 b=5.0993 c=5.0993 alpha=90.00 beta=90.00 gamma=90.00
Element x y z (fractional)
Sn: 0.5000 0.5000 0.5000
Tl: 0.0000 0.0000 0.5000
Tl: 0.0000 0.5000 0.0000
Tl: 0.5000 0.0000 0.0000
Li: 0.0000 0.0000 0.0000

---

Record 4
## Li2TlSn (PBEsol)

Data for crystalline Li2TlSn at its relaxed geometry.

## Properties
The calculation puts the polymorph energy (0 for the lowest one) at 68 meV/atom. The value obtained for the formation energy is -0.246 eV/atom. As for the calculated total energy: -2.951 eV per atom. Its space-group type is C2.

Unit cell a=6.5485 b=5.5998 c=5.6012 alpha=61.78 beta=73.51 gamma=73.54
Element x y z (fractional)
Sn: 0.4977 0.9516 0.0334
Sn: 0.2526 0.4665 0.5486
Li: 0.3747 0.5150 0.9852
Li: 0.8749 0.5826 0.9172
Li: 0.5998 0.0295 0.4655
Li: 0.1500 0.0345 0.4704
Tl: 0.9889 0.9820 0.0618
Tl: 0.7613 0.4382 0.5178